Tm3Mg3In2Pd: relaxed, PBE.

Cell: 7.4435 7.4435 4.4424 Å, 90.00 90.00 120.00°
Sites, in units of the cell vectors:
Pd: 0.0000 0.0000 0.0000
Mg: 0.2335 0.2335 0.5000
Tm: 0.0000 0.4048 0.0000
In: 0.3333 0.6667 0.5000
Mg: 0.7665 0.0000 0.5000
Tm: 0.4048 0.0000 0.0000
In: 0.6667 0.3333 0.5000
Mg: 0.0000 0.7665 0.5000
Tm: 0.5952 0.5952 0.0000

Final energy ... -3.65 eV per atom
SG ... No. 189

---

LuInAsO: relaxed, PBE.

Cell: 4.4050 4.4050 8.3492 Å, 90.00 90.00 90.00°
Sites, in units of the cell vectors:
Lu: 0.2500 0.7500 0.5000
As: 0.7500 0.7500 0.3049
Lu: 0.7500 0.2500 0.5000
In: 0.7500 0.7500 0.9021
In: 0.2500 0.2500 0.0979
O: 0.2500 0.7500 0.0000
O: 0.7500 0.2500 0.0000
As: 0.2500 0.2500 0.6951

Relative energy among the computed polymorphs ... 763 meV/atom
SG ... No. 129

---

| no. | V (Å³ per atom) |
| --- | --- |
| 1 | 23.68 |
| 2 | 20.25 |